1.
{
  "formula": "YCdAu2",
  "functional": "PBEsol",
  "state": "optimized geometry",
  "m_tot_mub_per_fu": 0.0,
  "n_ef_per_ev_cell": 1.39,
  "crystal_system": "tetragonal",
  "energy_ev_per_atom": -4.568,
  "lattice_angstrom": [[-2.142, 0.224, 2.725], [1.980, -2.260, 1.742], [3.650, 5.086, 2.451]],
  "species": ["Au", "Au", "Cd", "Y"],
  "fractional_positions": [[0.000, 0.000, 0.259], [0.000, 0.000, 0.741], [0.500, 0.500, 0.500], [0.500, 0.500, 0.000]]
}

=====

2.
{
  "formula": "YCd2Au2",
  "functional": "PBEsol",
  "state": "optimized geometry",
  "m_tot_mub_per_fu": 0.0,
  "n_ef_per_ev_cell": 1.94,
  "crystal_system": "tetragonal",
  "energy_ev_per_atom": -3.902,
  "lattice_angstrom": [[3.996, 0.000, 0.000], [0.000, 3.996, 0.000], [-1.998, -1.998, 6.669]],
  "species": ["Au", "Au", "Cd", "Cd", "Y"],
  "fractional_positions": [[0.401, 0.401, 0.801], [0.599, 0.599, 0.199], [0.250, 0.750, 0.500], [0.750, 0.250, 0.500], [0.000, 0.000, 0.000]]
}

=====

3.
{
  "formula": "Y2CdAu",
  "functional": "PBEsol",
  "state": "optimized geometry",
  "m_tot_mub_per_fu": 0.0,
  "n_ef_per_ev_cell": 4.18,
  "crystal_system": "trigonal",
  "energy_ev_per_atom": -5.104,
  "lattice_angstrom": [[3.814, 0.000, 0.000], [1.907, 3.303, 0.000], [1.907, 1.101, 8.350]],
  "species": ["Y", "Y", "Cd", "Au"],
  "fractional_positions": [[0.242, 0.242, 0.275], [0.758, 0.758, 0.725], [0.000, 0.000, 0.000], [0.500, 0.500, 0.500]]
}

=====

4.
{
  "formula": "Y2CdAu",
  "functional": "PBEsol",
  "state": "optimized geometry",
  "m_tot_mub_per_fu": 0.0,
  "n_ef_per_ev_cell": 3.76,
  "crystal_system": "monoclinic",
  "energy_ev_per_atom": -5.180,
  "lattice_angstrom": [[-0.639, 0.372, 3.505], [4.648, -1.304, 0.986], [-0.489, 5.627, -2.517]],
  "species": ["Cd", "Y", "Y", "Au"],
  "fractional_positions": [[0.215, 0.716, 0.431], [0.782, 0.282, 0.563], [0.998, 0.997, 0.995], [0.505, 0.505, 0.010]]
}